1.
Entry from Alexandria via LeMat-Bulk: crystalline Ag2SnPdF8 at its relaxed geometry (PBE).

```
data_Ag2SnPdF8
_symmetry_space_group_name_H-M 'P -1'
_symmetry_Int_Tables_number 2
_cell_length_a 5.162
_cell_length_b 5.327
_cell_length_c 7.284
_cell_angle_alpha 85.91
_cell_angle_beta 87.92
_cell_angle_gamma 84.98
loop_
_symmetry_equiv_pos_as_xyz
'x,y,z'
'-x,-y,-z'
loop_
_atom_site_label
_atom_site_fract_x
_atom_site_fract_y
_atom_site_fract_z
Ag1 0.034 0.006 0.244
Sn1 0.500 0.500 0.500
Pd1 0.500 0.500 0.000
F1 0.166 0.718 0.521
F2 0.207 0.768 0.001
F3 0.358 0.222 0.655
F4 0.377 0.362 0.261
```

2.
Entry from Alexandria via LeMat-Bulk: crystalline AgSn2PdF at its relaxed geometry (PBE).

```
data_AgSn2PdF
_symmetry_space_group_name_H-M 'P 4/m m m'
_symmetry_Int_Tables_number 123
_symmetry_space_group_name_Hall '-P 4 2'
_cell_length_a 4.805
_cell_length_b 4.805
_cell_length_c 4.570
_cell_angle_alpha 90.00
_cell_angle_beta 90.00
_cell_angle_gamma 90.00
loop_
_atom_site_label
_atom_site_fract_x
_atom_site_fract_y
_atom_site_fract_z
Ag1 0.000 0.000 0.000
Sn1 0.000 0.500 0.500
Pd1 0.500 0.500 0.000
F1 0.000 0.000 0.500
```

3.
Entry from Alexandria via LeMat-Bulk: crystalline AgSnPdF6 at its relaxed geometry (PBE).

```
data_AgSnPdF6
_symmetry_space_group_name_H-M 'P -3 1 c'
_symmetry_Int_Tables_number 163
_symmetry_space_group_name_Hall '-P 3 2c'
_cell_length_a 6.0051
_cell_length_b 6.0051
_cell_length_c 9.3174
_cell_angle_alpha 90.00
_cell_angle_beta 90.00
_cell_angle_gamma 120.00
loop_
_atom_site_label
_atom_site_fract_x
_atom_site_fract_y
_atom_site_fract_z
Ag1 0.3333 0.6667 0.2500
Sn1 0.3333 0.6667 0.7500
Pd1 0.0000 0.0000 0.0000
F1 0.0599 0.3810 0.6285
```

no.,calculated volume (A^3/atom),uncorrected formation energy (eV per atom)
1,16.58,-1.66
2,21.10,-0.18
3,16.17,-1.66